(1)
Cd2SnPb2: optimized geometry, PBE.

Summary:
DFT formation energy	0.15	eV per atom
distance to the lowest polymorph of the same formula	0.0938	eV/atom
uncorrected energy	-2.50	eV/atom

Unit cell a=8.7084 b=8.7084 c=3.8287 alpha=90.00 beta=90.00 gamma=90.00
Closest atoms and distances in Å follow each position.
Fractional coordinates of all 10 atoms:
Pb1 0.3607 0.8607 0.0000  6 Cd 3.10-3.26, 2 Sn 3.37, 1 Pb 3.43
Pb2 0.8607 0.6393 0.0000  6 Cd 3.10-3.26, 2 Sn 3.37, 1 Pb 3.43
Pb3 0.6393 0.1393 0.0000  6 Cd 3.10-3.26, 2 Sn 3.37, 1 Pb 3.43
Pb4 0.1393 0.3607 0.0000  6 Cd 3.10-3.26, 2 Sn 3.37, 1 Pb 3.43
Sn1 0.0000 0.0000 0.0000  4 Pb 3.37
Sn2 0.5000 0.5000 0.0000  4 Pb 3.37
Cd1 0.1629 0.6629 0.5000  6 Pb 3.10-3.26
Cd2 0.6629 0.8371 0.5000  6 Pb 3.10-3.26
Cd3 0.8371 0.3371 0.5000  6 Pb 3.10-3.26
Cd4 0.3371 0.1629 0.5000  6 Pb 3.10-3.26

(2)
Cd2SnPb9: optimized geometry, PBE.

Summary:
DFT formation energy	0.03	eV per atom
uncorrected energy	-3.24	eV/atom

Unit cell a=4.8834 b=4.8834 c=15.1632 alpha=90.00 beta=90.00 gamma=90.00
Closest atoms and distances in Å follow each position.
Fractional coordinates of all 12 atoms:
Cd1 0.0000 0.0000 0.3358  12 Pb 3.45-3.51
Cd2 0.0000 0.0000 0.6642  12 Pb 3.45-3.51
Sn1 0.0000 0.0000 0.0000  12 Pb 3.45-3.54
Pb1 0.5000 0.5000 0.0000  4 Sn 3.45, 8 Pb 3.54
Pb2 0.5000 0.5000 0.3344  4 Cd 3.45, 8 Pb 3.50
Pb3 0.5000 0.5000 0.6656  4 Cd 3.45, 8 Pb 3.50
Pb4 0.5000 0.0000 0.1693  8 Pb 3.45-3.54, 2 Cd 3.51, 2 Sn 3.54
Pb5 0.5000 0.0000 0.5000  8 Pb 3.45-3.50, 4 Cd 3.49
Pb6 0.5000 0.0000 0.8307  8 Pb 3.45-3.54, 2 Cd 3.51, 2 Sn 3.54
Pb7 0.0000 0.5000 0.1693  8 Pb 3.45-3.54, 2 Cd 3.51, 2 Sn 3.54
Pb8 0.0000 0.5000 0.5000  8 Pb 3.45-3.50, 4 Cd 3.49
Pb9 0.0000 0.5000 0.8307  8 Pb 3.45-3.54, 2 Cd 3.51, 2 Sn 3.54

(3)
Cd8Sn3Pb2: optimized geometry, PBE.

Summary:
DFT formation energy	0.10	eV per atom
uncorrected energy	-1.96	eV/atom

Unit cell a=5.4287 b=7.9951 c=9.3010 alpha=115.45 beta=102.31 gamma=90.00
Closest atoms and distances in Å follow each position.
Fractional coordinates of all 13 atoms:
Cd1 0.2156 0.6861 0.3721  5 Cd 2.95-3.08, 1 Pb 2.98
Cd2 0.7844 0.3140 0.6279  5 Cd 2.95-3.08, 1 Pb 2.98
Cd3 0.9964 0.1659 0.3318  5 Cd 2.98-3.17, 2 Sn 3.31
Cd4 0.0036 0.8341 0.6682  5 Cd 2.98-3.17, 2 Sn 3.31
Cd5 0.5196 0.6488 0.6744  6 Cd 2.95-3.17, 1 Pb 3.09, 1 Sn 3.15
Cd6 0.5196 0.0257 0.6744  6 Cd 2.95-3.17, 1 Pb 3.09, 1 Sn 3.15
Cd7 0.4804 0.9743 0.3256  6 Cd 2.95-3.17, 1 Pb 3.09, 1 Sn 3.15
Cd8 0.4804 0.3512 0.3256  6 Cd 2.95-3.17, 1 Pb 3.09, 1 Sn 3.15
Sn1 0.5000 0.0000 0.0000  6 Cd 3.15-3.39, 4 Sn 3.25
Sn2 0.0000 0.2231 0.0000  3 Sn 3.25-3.57, 4 Cd 3.31, 2 Pb 3.38
Sn3 0.0000 0.7769 0.0000  3 Sn 3.25-3.57, 4 Cd 3.31, 2 Pb 3.38
Pb1 0.3202 0.4107 0.8214  4 Cd 2.98-3.31, 1 Pb 3.17
Pb2 0.6798 0.5893 0.1786  4 Cd 2.98-3.31, 1 Pb 3.17

(4)
Cd2SnPb: optimized geometry, PBE.

Summary:
DFT formation energy	0.05	eV per atom
distance to the lowest polymorph of the same formula	0.0087	eV/atom
uncorrected energy	-2.33	eV/atom

Unit cell a=6.8889 b=6.8903 c=8.9415 alpha=90.00 beta=90.00 gamma=90.00
Closest atoms and distances in Å follow each position.
Fractional coordinates of all 16 atoms:
Cd1 0.0000 0.7520 0.5000  4 Sn 3.30-3.31, 4 Pb 3.30-3.31, 4 Cd 3.42-3.47
Cd2 0.5000 0.2520 0.0000  4 Sn 3.30-3.31, 4 Pb 3.30-3.31, 4 Cd 3.42-3.47
Cd3 0.5000 0.2480 0.5000  4 Sn 3.30-3.31, 4 Pb 3.30-3.31, 4 Cd 3.42-3.47
Cd4 0.0000 0.7480 0.0000  4 Sn 3.30-3.31, 4 Pb 3.30-3.31, 4 Cd 3.42-3.47
Cd5 0.0000 0.2480 0.5000  4 Sn 3.30-3.31, 4 Pb 3.30-3.31, 4 Cd 3.42-3.47
Cd6 0.5000 0.7480 0.0000  4 Sn 3.30-3.31, 4 Pb 3.30-3.31, 4 Cd 3.42-3.47
Cd7 0.5000 0.7520 0.5000  4 Sn 3.30-3.31, 4 Pb 3.30-3.31, 4 Cd 3.42-3.47
Cd8 0.0000 0.2520 0.0000  4 Sn 3.30-3.31, 4 Pb 3.30-3.31, 4 Cd 3.42-3.47
Sn1 0.7500 0.0023 0.7511  8 Cd 3.30-3.31, 2 Pb 3.44, 2 Sn 3.45
Sn2 0.7500 0.5023 0.7489  8 Cd 3.30-3.31, 2 Pb 3.44, 2 Sn 3.45
Sn3 0.2500 0.9977 0.2489  8 Cd 3.30-3.31, 2 Pb 3.44, 2 Sn 3.45
Sn4 0.2500 0.4977 0.2511  8 Cd 3.30-3.31, 2 Pb 3.44, 2 Sn 3.45
Pb1 0.7500 0.9992 0.2485  8 Cd 3.30-3.31, 2 Sn 3.44, 2 Pb 3.45
Pb2 0.7500 0.4992 0.2515  8 Cd 3.30-3.31, 2 Sn 3.44, 2 Pb 3.45
Pb3 0.2500 0.0008 0.7515  8 Cd 3.30-3.31, 2 Sn 3.44, 2 Pb 3.45
Pb4 0.2500 0.5008 0.7485  8 Cd 3.30-3.31, 2 Sn 3.44, 2 Pb 3.45

Question: Among the records above, which one has the highest DFT formation energy?
Answer: Cd2SnPb2

Question: Number 3 is which compound?
Answer: Cd8Sn3Pb2

Copy entry 4 word for word.
Cd2SnPb: optimized geometry, PBE.

Summary:
DFT formation energy	0.05	eV per atom
distance to the lowest polymorph of the same formula	0.0087	eV/atom
uncorrected energy	-2.33	eV/atom

Unit cell a=6.8889 b=6.8903 c=8.9415 alpha=90.00 beta=90.00 gamma=90.00
Closest atoms and distances in Å follow each position.
Fractional coordinates of all 16 atoms:
Cd1 0.0000 0.7520 0.5000  4 Sn 3.30-3.31, 4 Pb 3.30-3.31, 4 Cd 3.42-3.47
Cd2 0.5000 0.2520 0.0000  4 Sn 3.30-3.31, 4 Pb 3.30-3.31, 4 Cd 3.42-3.47
Cd3 0.5000 0.2480 0.5000  4 Sn 3.30-3.31, 4 Pb 3.30-3.31, 4 Cd 3.42-3.47
Cd4 0.0000 0.7480 0.0000  4 Sn 3.30-3.31, 4 Pb 3.30-3.31, 4 Cd 3.42-3.47
Cd5 0.0000 0.2480 0.5000  4 Sn 3.30-3.31, 4 Pb 3.30-3.31, 4 Cd 3.42-3.47
Cd6 0.5000 0.7480 0.0000  4 Sn 3.30-3.31, 4 Pb 3.30-3.31, 4 Cd 3.42-3.47
Cd7 0.5000 0.7520 0.5000  4 Sn 3.30-3.31, 4 Pb 3.30-3.31, 4 Cd 3.42-3.47
Cd8 0.0000 0.2520 0.0000  4 Sn 3.30-3.31, 4 Pb 3.30-3.31, 4 Cd 3.42-3.47
Sn1 0.7500 0.0023 0.7511  8 Cd 3.30-3.31, 2 Pb 3.44, 2 Sn 3.45
Sn2 0.7500 0.5023 0.7489  8 Cd 3.30-3.31, 2 Pb 3.44, 2 Sn 3.45
Sn3 0.2500 0.9977 0.2489  8 Cd 3.30-3.31, 2 Pb 3.44, 2 Sn 3.45
Sn4 0.2500 0.4977 0.2511  8 Cd 3.30-3.31, 2 Pb 3.44, 2 Sn 3.45
Pb1 0.7500 0.9992 0.2485  8 Cd 3.30-3.31, 2 Sn 3.44, 2 Pb 3.45
Pb2 0.7500 0.4992 0.2515  8 Cd 3.30-3.31, 2 Sn 3.44, 2 Pb 3.45
Pb3 0.2500 0.0008 0.7515  8 Cd 3.30-3.31, 2 Sn 3.44, 2 Pb 3.45
Pb4 0.2500 0.5008 0.7485  8 Cd 3.30-3.31, 2 Sn 3.44, 2 Pb 3.45

Question: Which of these has the lowest uncorrected energy?
Answer: Cd2SnPb9